Entry from Alexandria: a relaxed structure of V2PdPt9 (PBE-GGA).

Properties
**Calculated formation energy**: -0.36 eV/atom

```
data_V2PdPt9
_chemical_formula_sum 'V2 Pd1 Pt9'
_cell_length_a 3.932
_cell_length_b 3.932
_cell_length_c 11.782
_cell_angle_alpha 90.00
_cell_angle_beta 90.00
_cell_angle_gamma 90.00
_symmetry_space_group_name_H-M 'P 1'
_symmetry_Int_Tables_number 1
loop_
_symmetry_equiv_pos_as_xyz
'x,y,z'
loop_
_atom_site_label
_atom_site_type_symbol
_atom_site_fract_x
_atom_site_fract_y
_atom_site_fract_z
V1 V 0.000 0.000 0.326
V2 V 0.000 0.000 0.674
Pd1 Pd 0.000 0.000 0.000
Pt1 Pt 0.500 0.500 0.000
Pt2 Pt 0.500 0.500 0.338
Pt3 Pt 0.500 0.500 0.662
Pt4 Pt 0.500 0.000 0.175
Pt5 Pt 0.500 0.000 0.500
Pt6 Pt 0.500 0.000 0.825
Pt7 Pt 0.000 0.500 0.175
Pt8 Pt 0.000 0.500 0.500
Pt9 Pt 0.000 0.500 0.825
```